An optimized crystal structure of Er6Tl2Bi, computed with GGA-PBE.

POSCAR file:
```
Er6Tl2Bi
1.0
4.067 0.000 0.000
0.000 8.572 0.000
0.000 -4.286 7.424
Er Tl Bi
6 2 1
Direct
0.000 0.000 0.280
0.500 0.609 0.000
0.000 0.280 0.000
0.500 0.391 0.391
0.500 0.000 0.609
0.000 0.720 0.720
0.000 0.667 0.333
0.000 0.333 0.667
0.500 0.000 0.000
```

Results
SG: P-62m, No. 189
ΔE_f: -0.32 eV per atom